Crystalline TlSbTe2C at its relaxed geometry. Source: Alexandria via LeMat-Bulk, functional GGA-PBE.

Geometry as POSCAR:
```
TlSbTe2C
1.0
5.797 0.000 0.000
0.000 5.797 0.000
0.000 0.000 5.806
Tl Sb Te C
1 1 2 1
Cartesian
0.000 0.000 0.000
0.000 0.000 2.903
0.000 2.898 0.000
2.898 0.000 0.000
2.898 2.898 2.903
```

As for the space group: No. 123. For the formation energy without anion corrections, the calculation gives 2113 meV per atom. The value obtained for the magnetization is 0.6 μB/f.u. As for the crystal system: tetragonal. Its total energy is -2.287 eV/atom.